A plane-wave DFT calculation with PBE was carried out for an optimized crystal structure of Mo3Rh5.

Output
Formation energy (meV per atom): 25
SG: Cm
N(E_F) (states/eV/cell): 13.8

```
16
Lattice="2.468 -6.789 0.000 2.468 6.789 0.000 -1.750 0.000 7.273" Properties=species:S:1:pos:R:3 pbc="T T T"
Mo 0.000 0.000 0.000
Mo -0.138 0.000 5.348
Mo 1.322 3.644 6.667
Mo 2.352 2.304 2.656
Mo 2.352 -2.304 2.656
Mo 1.322 -3.644 6.667
Rh -0.099 2.575 4.332
Rh 2.240 4.713 1.583
Rh 1.151 0.000 2.651
Rh -0.099 -2.575 4.332
Rh 2.392 1.315 0.293
Rh 2.392 -1.315 0.293
Rh 2.280 1.440 5.188
Rh 2.280 -1.440 5.188
Rh 2.240 -4.713 1.583
Rh 3.626 0.000 3.137
```

A plane-wave DFT calculation with PBE was carried out for an optimized crystal structure of Mo3Rh.

Output
Formation energy (meV per atom): 27
SG: Cmcm
N(E_F) (states/eV/cell): 6.7

```
8
Lattice="4.372 -3.259 0.000 4.372 3.259 0.000 0.000 0.000 4.352" Properties=species:S:1:pos:R:3 pbc="T T T"
Mo 4.372 2.553 3.264
Mo 2.322 0.841 3.264
Mo 2.322 -0.841 1.088
Mo 6.421 0.841 3.264
Mo 6.421 -0.841 1.088
Mo 4.372 -2.553 1.088
Rh 4.372 0.945 1.088
Rh 4.372 -0.945 3.264
```

A plane-wave DFT calculation with PBE was carried out for an optimized crystal structure of Mo5Rh.

Output
Formation energy (meV per atom): 153
SG: P4/mmm
N(E_F) (states/eV/cell): 5.4

```
6
Lattice="2.679 0.000 0.000 0.000 2.679 0.000 0.000 0.000 13.217" Properties=species:S:1:pos:R:3 pbc="T T T"
Mo 0.000 0.000 0.000
Mo 0.000 0.000 4.608
Mo 0.000 0.000 8.609
Mo 1.340 1.340 2.316
Mo 1.340 1.340 10.901
Rh 1.340 1.340 6.608
```

A plane-wave DFT calculation with PBE was carried out for an optimized crystal structure of MoRh3.

Output
Formation energy (meV per atom): -76
SG: P4/mmm
N(E_F) (states/eV/cell): 7.4

```
4
Lattice="2.741 0.000 0.000 0.000 2.741 0.000 0.000 0.000 7.759" Properties=species:S:1:pos:R:3 pbc="T T T"
Mo 0.000 0.000 0.000
Rh 0.000 0.000 3.880
Rh 1.370 1.370 1.923
Rh 1.370 1.370 5.836
```